1.
AgOsBr2 PBE-GGA relaxed; energy = -15.5 eV per cell; density = 7.33 g/cm3; calculated volume = 25.93 Å³ per atom
1.0
-1.5630 2.4067 6.8927
1.5630 -2.4067 6.8927
1.5630 2.4067 -6.8927
Ag Os Br
1 1 2
Direct
0.0000 0.0000 0.0000
0.5000 0.5000 0.0000
0.3553 0.8553 0.5000
0.6447 0.1447 0.5000

---

2.
AgOsBr2 PBE-GGA relaxed; energy = -14.9 eV per cell; density = 8.27 g/cm3; calculated volume = 22.98 Å³ per atom
1.0
1.4895 0.8600 11.9604
-1.4895 0.8600 11.9604
0.0000 -1.7199 11.9604
Ag Os Br
1 1 2
Direct
0.0000 0.0000 0.0000
0.5000 0.5000 0.5000
0.4338 0.4338 0.4338
0.5662 0.5662 0.5662

---

3.
AgOs2Br PBE-GGA relaxed; energy = -22.2 eV per cell; density = 14.06 g/cm3; calculated volume = 16.77 Å³ per atom
1.0
-1.4494 2.2907 5.0522
1.4494 -2.2907 5.0522
1.4494 2.2907 -5.0522
Ag Os Br
1 2 1
Direct
0.0000 0.0000 0.0000
0.2773 0.7773 0.5000
0.7227 0.2227 0.5000
0.5000 0.5000 0.0000